(1)
Computed, not measured: a relaxed Nb6CuRh crystal at the PBE level of DFT.

POSCAR file:
```
Nb6CuRh
1.0
4.493 0.000 1.353
-0.408 4.474 1.353
0.326 0.357 7.052
Nb Cu Rh
6 1 1
Direct
0.624 0.124 0.752 Nb
0.124 0.624 0.752 Nb
0.876 0.376 0.248 Nb
0.753 0.753 0.495 Nb
0.247 0.247 0.505 Nb
0.376 0.876 0.248 Nb
0.000 0.000 0.000 Cu
0.500 0.500 0.000 Rh
```

Summary:
Total magnetic moment, μB per formula unit: 0.0
Energy of formation, eV/atom: -0.078
Calculated density, g/cm³: 8.75


(2)
Computed, not measured: a relaxed InRuCl2 crystal at the PBE level of DFT.

POSCAR file:
```
InRuCl2
1.0
0.000 3.531 3.531
3.531 0.000 3.531
3.531 3.531 0.000
Cl Ru In
2 1 1
Direct
0.750 0.750 0.750 Cl
0.250 0.250 0.250 Cl
0.000 0.000 0.000 Ru
0.500 0.500 0.500 In
```

Summary:
Total magnetic moment, μB per formula unit: 3.0
Energy relative to the elements, uncorrected, eV/atom: 0.321
Calculated density, g/cm³: 5.41
ΔE to the lowest computed polymorph, eV/f.u.: 2.25


(3)
Computed, not measured: a relaxed Er2TiAg2S6 crystal at the PBE level of DFT.

POSCAR file:
```
Er2TiAg2S6
1.0
6.577 0.026 -0.052
-3.228 5.730 -0.052
-1.310 -2.252 6.357
S Ti Ag Er
6 1 2 2
Direct
0.209 0.209 0.272 S
0.401 0.093 0.727 S
0.093 0.401 0.727 S
0.599 0.907 0.273 S
0.907 0.599 0.273 S
0.791 0.791 0.728 S
0.000 0.000 0.500 Ti
0.818 0.182 0.000 Ag
0.182 0.818 0.000 Ag
0.333 0.667 0.500 Er
0.667 0.333 0.500 Er
```

Summary:
Total magnetic moment, μB per formula unit: 0.0
Energy relative to the elements, uncorrected, eV/atom: -1.239
Calculated density, g/cm³: 5.50


(4)
Computed, not measured: a relaxed Ta2VH4 crystal at the PBE level of DFT.

POSCAR file:
```
Ta2VH4
1.0
-1.876 2.443 1.174
-2.681 -1.881 -0.370
-1.631 -1.627 5.407
H Ta V
4 2 1
Direct
0.163 0.163 0.673 H
0.500 0.000 0.000 H
0.837 0.837 0.327 H
0.000 0.500 0.000 H
0.341 0.341 0.318 Ta
0.659 0.659 0.682 Ta
0.000 0.000 0.000 V
```

Summary:
Total magnetic moment, μB per formula unit: 0.0
Calculated density, g/cm³: 11.81
ΔE to the lowest computed polymorph, eV/f.u.: 0.36


(5)
Computed, not measured: a relaxed KY crystal at the PBE level of DFT.

POSCAR file:
```
KY
1.0
-2.530 3.703 -4.092
1.361 -5.719 -1.514
-11.371 -3.684 3.696
Y K
4 4
Direct
0.333 0.667 0.750 Y
0.000 0.000 0.250 Y
0.000 0.000 0.750 Y
0.667 0.333 0.250 Y
0.333 0.667 0.422 K
0.333 0.667 0.078 K
0.667 0.333 0.922 K
0.667 0.333 0.578 K
```

Summary:
Total magnetic moment, μB per formula unit: 0.4
Energy of formation, eV/atom: 0.783
Calculated density, g/cm³: 2.13


(6)
Computed, not measured: a relaxed LaErPt3 crystal at the PBE level of DFT.

POSCAR file:
```
LaErPt3
1.0
-3.742 -0.911 -1.835
1.849 -0.988 -3.280
0.041 -12.359 6.054
Pt Er La
6 2 2
Direct
0.250 0.470 0.941 Pt
0.250 0.373 0.747 Pt
0.250 0.689 0.378 Pt
0.750 0.530 0.059 Pt
0.750 0.627 0.253 Pt
0.750 0.311 0.622 Pt
0.250 0.792 0.585 Er
0.750 0.208 0.415 Er
0.750 0.925 0.850 La
0.250 0.075 0.150 La
```

Summary:
Total magnetic moment, μB per formula unit: 0.0
Energy of formation, eV/atom: -1.157
Calculated density, g/cm³: 13.09


(7)
Computed, not measured: a relaxed AcLaBi2O8 crystal at the PBE level of DFT.

POSCAR file:
```
AcLaBi2O8
1.0
5.653 0.000 0.000
0.000 5.653 0.000
-2.826 -2.826 5.982
O Ac Bi La
8 1 2 1
Direct
0.979 0.407 0.314 O
0.779 0.837 0.180 O
0.163 0.599 0.820 O
0.593 0.665 0.686 O
0.093 0.021 0.686 O
0.401 0.343 0.180 O
0.657 0.221 0.820 O
0.335 0.907 0.314 O
0.750 0.250 0.500 Ac
0.500 0.500 0.000 Bi
0.250 0.750 0.500 Bi
0.000 0.000 0.000 La
```

Summary:
Total magnetic moment, μB per formula unit: 0.0
Energy relative to the elements, uncorrected, eV/atom: -1.948
Calculated density, g/cm³: 7.92


(8)
Computed, not measured: a relaxed Ca2Ru2O7 crystal at the PBE level of DFT.

POSCAR file:
```
Ca2Ru2O7
1.0
7.280 0.000 0.000
3.640 6.305 0.000
3.640 2.102 5.944
Ru Ca O
4 4 14
Direct
0.125 0.625 0.125 Ru
0.625 0.125 0.125 Ru
0.125 0.125 0.625 Ru
0.125 0.125 0.125 Ru
0.625 0.625 0.625 Ca
0.625 0.625 0.125 Ca
0.125 0.625 0.625 Ca
0.625 0.125 0.625 Ca
0.057 0.057 0.443 O
0.750 0.750 0.750 O
0.443 0.057 0.443 O
0.193 0.807 0.807 O
0.057 0.443 0.443 O
0.193 0.807 0.193 O
0.193 0.193 0.807 O
0.500 0.500 0.500 O
0.443 0.443 0.057 O
0.807 0.193 0.193 O
0.807 0.807 0.193 O
0.807 0.193 0.807 O
0.443 0.057 0.057 O
0.057 0.443 0.057 O
```

Summary:
Total magnetic moment, μB per formula unit: 0.0
Energy relative to the elements, uncorrected, eV/atom: -1.717
Calculated density, g/cm³: 4.80